Entry 1:
This record from Alexandria describes Gd2ZnCu after structural relaxation. The functional is PBE.

Calculated values
calculated formation energy = -0.27 eV per atom
symmetry = P4/mmm, No. 123

Unit cell a=3.5601 b=3.5601 c=7.1039 alpha=90.00 beta=90.00 gamma=90.00
Closest atoms and distances in Å follow each position.
Positions (direct):
Zn  0.5000  0.5000  0.0000  8 Gd 3.10
Gd  0.0000  0.0000  0.2557  4 Cu 3.06, 4 Zn 3.10
Gd  0.0000  0.0000  0.7443  4 Cu 3.06, 4 Zn 3.10
Cu  0.5000  0.5000  0.5000  8 Gd 3.06

Entry 2:
This record from Alexandria describes ScSe2F after structural relaxation. The functional is PBE.

Calculated values
uncorrected formation energy = -1.059 eV per atom
energy above the lowest structure with this stoichiometry = 194 meV per atom
symmetry = Fm-3m, No. 225

Unit cell a=4.6331 b=4.6331 c=4.6331 alpha=60.00 beta=60.00 gamma=60.00
Closest atoms and distances in Å follow each position.
Positions (direct):
Sc  0.5000  0.5000  0.5000  8 Se 2.84
F  0.0000  0.0000  0.0000  8 Se 2.84
Se  0.7500  0.7500  0.7500  4 Sc 2.84, 4 F 2.84
Se  0.2500  0.2500  0.2500  4 Sc 2.84, 4 F 2.84

Entry 3:
This record from Alexandria describes KTaNi after structural relaxation. The functional is PBE.

Calculated values
calculated formation energy = 0.61 eV per atom
energy above the lowest structure with this stoichiometry = 0 meV per atom
symmetry = I4mm, No. 107

Unit cell a=7.3798 b=7.3799 c=3.1812 alpha=77.55 beta=77.55 gamma=24.89
Closest atoms and distances in Å follow each position.
Positions (direct):
Ni  0.2951  0.2951  0.7049  4 Ta 2.48
Ta  0.7204  0.7204  0.2796  4 Ni 2.48
K  0.9845  0.9845  0.0155  4 K 3.18, 4 Ni 3.49

Entry 4:
This record from Alexandria describes PaSi2NiMo after structural relaxation. The functional is PBE.

Calculated values
uncorrected formation energy = -0.501 eV per atom
symmetry = I-4m2, No. 119

Unit cell a=4.0492 b=4.0492 c=5.8102 alpha=110.39 beta=110.39 gamma=90.00
Closest atoms and distances in Å follow each position.
Positions (direct):
Mo  0.7500  0.2500  0.5000  4 Si 2.42
Ni  0.2500  0.7500  0.5000  4 Si 2.42
Si  0.3804  0.3804  0.7608  2 Ni 2.42, 2 Mo 2.42, 1 Si 2.42
Si  0.6196  0.6196  0.2392  2 Mo 2.42, 2 Ni 2.42, 1 Si 2.42
Pa  0.0000  0.0000  0.0000  8 Si 3.11, 4 Mo 3.24, 4 Ni 3.24

Entry 5:
This record from Alexandria describes Ta3NbH after structural relaxation. The functional is PBE.

Calculated values
energy above the lowest structure with this stoichiometry = 233 meV per atom
symmetry = Pm-3m, No. 221

Unit cell a=4.2513 b=4.2513 c=4.2513 alpha=90.00 beta=90.00 gamma=90.00
Closest atoms and distances in Å follow each position.
Positions (direct):
Ta  0.5000  0.0000  0.0000  2 H 2.13
Ta  0.0000  0.5000  0.0000  2 H 2.13
Ta  0.0000  0.0000  0.5000  2 H 2.13
H  0.0000  0.0000  0.0000  6 Ta 2.13
Nb  0.5000  0.5000  0.5000  12 Ta 3.01

Entry 6:
This record from Alexandria describes NbMo6W8 after structural relaxation. The functional is PBE.

Calculated values
calculated formation energy = 0.29 eV per atom
energy above the lowest structure with this stoichiometry = 0 meV per atom
symmetry = R-3, No. 148

Unit cell a=7.1210 b=7.1210 c=7.1210 alpha=59.84 beta=59.84 gamma=59.84
Closest atoms and distances in Å follow each position.
Positions (direct):
W  0.6191  0.8656  0.1335  1 Mo 2.51, 1 W 2.54
W  0.7496  0.7496  0.7496  6 Mo 2.79-2.82, 6 W 2.82
W  0.8656  0.1335  0.6191  1 Mo 2.51, 1 W 2.54
W  0.1335  0.6191  0.8656  1 Mo 2.51, 1 W 2.54
W  0.1344  0.8665  0.3809  1 Mo 2.51, 1 W 2.54
W  0.2504  0.2504  0.2504  6 Mo 2.79-2.82, 6 W 2.82
W  0.3809  0.1344  0.8665  1 Mo 2.51, 1 W 2.54
W  0.8665  0.3809  0.1344  1 Mo 2.51, 1 W 2.54
Mo  0.3807  0.8709  0.6168  1 Mo 2.50, 2 W 2.51-2.79
Mo  0.3832  0.6193  0.1291  1 Mo 2.50, 2 W 2.51-2.79
Mo  0.6168  0.3807  0.8709  1 Mo 2.50, 2 W 2.51-2.79
Mo  0.1291  0.3832  0.6193  1 Mo 2.50, 2 W 2.51-2.79
Mo  0.8709  0.6168  0.3807  1 Mo 2.50, 2 W 2.51-2.79
Mo  0.6193  0.1291  0.3832  1 Mo 2.50, 2 W 2.51-2.79
Nb  0.0000  0.0000  0.0000  6 Mo 2.87, 6 W 2.88

Entry 7:
This record from Alexandria describes CaDyOs after structural relaxation. The functional is PBE.

Calculated values
calculated formation energy = 0.13 eV per atom
symmetry = Cmce, No. 64

Unit cell a=6.8927 b=7.3562 c=7.7043 alpha=90.00 beta=90.00 gamma=117.94
Closest atoms and distances in Å follow each position.
Positions (direct):
Dy  0.2894  0.0789  0.2500  4 Os 2.90
Dy  0.7894  0.0789  0.2500  4 Os 2.90
Dy  0.7106  0.9211  0.7500  4 Os 2.90
Dy  0.2106  0.9211  0.7500  4 Os 2.90
Ca  0.3034  0.6069  0.1103  2 Os 3.01-3.03
Ca  0.1966  0.3931  0.6103  2 Os 3.01-3.03
Ca  0.6966  0.3931  0.8897  2 Os 3.01-3.03
Ca  0.8034  0.6069  0.3897  2 Os 3.01-3.03
Os  0.5894  0.1789  0.5402  1 Os 2.41
Os  0.0894  0.1789  0.9598  1 Os 2.41
Os  0.9106  0.8211  0.0402  1 Os 2.41
Os  0.4106  0.8211  0.4598  1 Os 2.41

Entry 8:
This record from Alexandria describes Ac4Bi3Sb after structural relaxation. The functional is PBE.

Calculated values
uncorrected formation energy = -1.057 eV per atom
symmetry = Pm-3m, No. 221

Unit cell a=6.8723 b=6.8723 c=6.8723 alpha=90.00 beta=90.00 gamma=90.00
Closest atoms and distances in Å follow each position.
Positions (direct):
Bi  0.0000  0.5000  0.5000  6 Ac 3.44
Bi  0.5000  0.5000  0.0000  6 Ac 3.44
Bi  0.5000  0.0000  0.5000  6 Ac 3.44
Ac  0.5000  0.0000  0.0000  2 Sb 3.44, 4 Bi 3.44
Ac  0.5000  0.5000  0.5000  6 Bi 3.44
Ac  0.0000  0.5000  0.0000  2 Sb 3.44, 4 Bi 3.44
Ac  0.0000  0.0000  0.5000  2 Sb 3.44, 4 Bi 3.44
Sb  0.0000  0.0000  0.0000  6 Ac 3.44

Entry 9:
This record from Alexandria describes SbRuIN2 after structural relaxation. The functional is PBE.

Calculated values
uncorrected formation energy = 1.734 eV per atom
energy above the lowest structure with this stoichiometry = 436 meV per atom
symmetry = P4/mmm, No. 123

Unit cell a=3.9996 b=3.9996 c=7.1091 alpha=90.00 beta=90.00 gamma=90.00
Closest atoms and distances in Å follow each position.
Positions (direct):
Ru  0.5000  0.5000  0.5000  4 I 2.83
N  0.0000  0.5000  0.0000  2 Sb 2.00
N  0.5000  0.0000  0.0000  2 Sb 2.00
I  0.0000  0.0000  0.5000  4 Ru 2.83
Sb  0.0000  0.0000  0.0000  4 N 2.00

Entry 10:
This record from Alexandria describes Ac2Al4ZnIr3 after structural relaxation. The functional is PBE.

Calculated values
calculated formation energy = -0.69 eV per atom
symmetry = P-4m2, No. 115

Unit cell a=4.3463 b=4.3463 c=10.7004 alpha=90.00 beta=90.00 gamma=90.00
Closest atoms and distances in Å follow each position.
Positions (direct):
Ac  0.5000  0.0000  0.2508  6 Ir 3.34-3.44, 8 Al 3.35-3.45, 2 Zn 3.44
Ac  0.0000  0.5000  0.7492  6 Ir 3.34-3.44, 8 Al 3.35-3.45, 2 Zn 3.44
Zn  0.5000  0.5000  0.5000  4 Al 2.55
Ir  0.0000  0.0000  0.5000  4 Al 2.55
Ir  0.0000  0.5000  0.1297  5 Al 2.58-2.62
Ir  0.5000  0.0000  0.8703  5 Al 2.58-2.62
Al  0.5000  0.5000  0.0000  4 Ir 2.58
Al  0.0000  0.0000  0.0000  4 Ir 2.58
Al  0.0000  0.5000  0.3749  3 Ir 2.55-2.62, 2 Zn 2.55
Al  0.5000  0.0000  0.6251  3 Ir 2.55-2.62, 2 Zn 2.55

Entry 11:
This record from Alexandria describes SrNi2SbW after structural relaxation. The functional is PBE.

Calculated values
uncorrected formation energy = 2.216 eV per atom
symmetry = P4/mmm, No. 123

Unit cell a=4.5902 b=5.6698 c=4.5902 alpha=90.00 beta=90.00 gamma=90.00
Closest atoms and distances in Å follow each position.
Positions (direct):
Sr  0.0000  0.0000  0.0000  4 Ni 2.30
Sb  0.5000  0.5000  0.5000  4 W 3.25
Ni  0.0000  0.0000  0.5000  2 Sr 2.30
Ni  0.5000  0.0000  0.0000  2 Sr 2.30
W  0.0000  0.5000  0.0000  2 Sr 2.83

Entry 12:
This record from Alexandria describes ScZnIn after structural relaxation. The functional is PBE.

Calculated values
calculated formation energy = 0.13 eV per atom
symmetry = F-43m, No. 216

Unit cell a=4.7022 b=4.7022 c=4.7022 alpha=60.00 beta=60.00 gamma=60.00
Closest atoms and distances in Å follow each position.
Positions (direct):
In  0.2500  0.2500  0.2500  4 Sc 2.88
Zn  0.7500  0.7500  0.7500  4 Sc 2.88
Sc  0.5000  0.5000  0.5000  4 Zn 2.88, 4 In 2.88

What did the second record say?
This record from Alexandria describes ScSe2F after structural relaxation. The functional is PBE.

Calculated values
uncorrected formation energy = -1.059 eV per atom
energy above the lowest structure with this stoichiometry = 194 meV per atom
symmetry = Fm-3m, No. 225

Unit cell a=4.6331 b=4.6331 c=4.6331 alpha=60.00 beta=60.00 gamma=60.00
Closest atoms and distances in Å follow each position.
Positions (direct):
Sc  0.5000  0.5000  0.5000  8 Se 2.84
F  0.0000  0.0000  0.0000  8 Se 2.84
Se  0.7500  0.7500  0.7500  4 Sc 2.84, 4 F 2.84
Se  0.2500  0.2500  0.2500  4 Sc 2.84, 4 F 2.84